1.
An optimized crystal structure of VI2OF. Source: the Alexandria database, functional PBE+U.

Properties
Its density is 5.4 g/cm³. The total energy is -19.9 eV/f.u. Its space group is P4/mmm, No. 123. The polymorph energy (0 for the lowest one) is 0.0 meV per atom.

Lattice parameters (Å, degrees): 5.396 5.396 3.620 90.00 90.00 90.00
Last column: magnetic moment on the atom in μB.
Fractional positions:
F1 0.500 0.500 0.500  0.00
V1 0.000 0.000 0.000  -0.12
O1 0.000 0.000 0.500  0.04
I1 0.500 0.000 0.000  0.04
I2 0.000 0.500 0.000  0.04

2.
An optimized crystal structure of VI2OF. Source: the Alexandria database, functional PBE+U.

Properties
Its density is 5.4 g/cm³. The total energy is -12.8 eV/f.u. Its space group is P4/mmm, No. 123. The polymorph energy (0 for the lowest one) is 1402.8 meV per atom.

Lattice parameters (Å, degrees): 5.190 5.190 3.847 90.00 90.00 90.00
Last column: magnetic moment on the atom in μB.
Fractional positions:
I1 0.000 0.500 0.000  0.10
O1 0.000 0.000 0.500  0.09
V1 0.500 0.500 0.500  -1.58
F1 0.000 0.000 0.000  0.02
I2 0.500 0.000 0.000  0.10

3.
An optimized crystal structure of WIO2F. Source: the Alexandria database, functional PBE+U.

Properties
Its density is 7.5 g/cm³. The total energy is -15.7 eV/f.u. Its space group is P4/mmm, No. 123.

Lattice parameters (Å, degrees): 4.452 4.452 4.039 90.00 90.00 90.00
Last column: magnetic moment on the atom in μB.
Fractional positions:
F1 0.000 0.000 0.000  0.13
O1 0.500 0.000 0.000  0.47
O2 0.000 0.500 0.000  0.47
W1 0.500 0.500 0.500  2.86
I1 0.000 0.000 0.500  -0.01